Entry from Alexandria via LeMat-Bulk: a geometry-optimized LiAcLa structure (GGA-PBE).

Summary:
**D(E_F)**: 1.528 states/eV per atom
**ρ**: 6.007 g cm⁻³
**Relative energy among the computed polymorphs**: 34.6 meV per atom
**V**: 34.4 A^3/atom

The structure in CIF format:
```
data_LiAcLa
_chemical_formula_sum 'Li1 Ac1 La1'
_symmetry_space_group_name_H-M 'P 1'
_symmetry_Int_Tables_number 1
_symmetry_space_group_name_Hall 'P 1'
_cell_length_a 3.944
_cell_length_b 3.944
_cell_length_c 7.190
_cell_angle_alpha 105.92
_cell_angle_beta 105.92
_cell_angle_gamma 90.00
loop_
_atom_site_label
_atom_site_type_symbol
_atom_site_fract_x
_atom_site_fract_y
_atom_site_fract_z
_atom_site_occupancy
Ac1 Ac 0.013 0.013 0.026 1
Li1 Li 0.670 0.670 0.340 1
La1 La 0.317 0.317 0.634 1
```

=====

Entry from Alexandria via LeMat-Bulk: a geometry-optimized LiAc2La structure (GGA-PBE).

Summary:
**D(E_F)**: 1.289 states/eV per atom
**ρ**: 6.394 g cm⁻³
**Relative energy among the computed polymorphs**: 48.0 meV per atom
**V**: 38.9 A^3/atom

The structure in CIF format:
```
data_LiAc2La
_chemical_formula_sum 'Li1 Ac2 La1'
_symmetry_space_group_name_H-M 'P 1'
_symmetry_Int_Tables_number 1
_symmetry_space_group_name_Hall 'P 1'
_cell_length_a 3.877
_cell_length_b 3.877
_cell_length_c 12.174
_cell_angle_alpha 80.84
_cell_angle_beta 80.84
_cell_angle_gamma 60.00
loop_
_atom_site_label
_atom_site_type_symbol
_atom_site_fract_x
_atom_site_fract_y
_atom_site_fract_z
_atom_site_occupancy
Li1 Li 0.667 0.667 0.999 1
Ac1 Ac 0.079 0.079 0.762 1
Ac2 Ac 0.254 0.254 0.238 1
La1 La 0.500 0.500 0.501 1
```

=====

Entry from Alexandria via LeMat-Bulk: a geometry-optimized LiAc4La3 structure (GGA-PBE).

Summary:
**D(E_F)**: 1.682 states/eV per atom
**ρ**: 7.050 g cm⁻³
**Raw total energy**: -4.064 eV per atom
**V**: 39.2 A^3/atom

The structure in CIF format:
```
data_LiAc4La3
_chemical_formula_sum 'Li1 Ac4 La3'
_symmetry_space_group_name_H-M 'P 1'
_symmetry_Int_Tables_number 1
_symmetry_space_group_name_Hall 'P 1'
_cell_length_a 5.459
_cell_length_b 5.459
_cell_length_c 11.204
_cell_angle_alpha 104.04
_cell_angle_beta 104.04
_cell_angle_gamma 90.02
loop_
_atom_site_label
_atom_site_type_symbol
_atom_site_fract_x
_atom_site_fract_y
_atom_site_fract_z
_atom_site_occupancy
Ac1 Ac 0.377 0.377 0.755 1
Ac2 Ac 0.623 0.623 0.245 1
Ac3 Ac 0.123 0.123 0.245 1
Ac4 Ac 0.877 0.877 0.755 1
La1 La 0.000 0.500 0.000 1
La2 La 0.750 0.250 0.499 1
La3 La 0.250 0.750 0.501 1
Li1 Li 0.500 0.000 0.000 1
```

=====

- Which formula does entry 2 have?
  LiAc2La

=====

- Among the records above, which one has the lowest ρ?
  LiAcLa

=====

Please write out number 2 again, unchanged.
Entry from Alexandria via LeMat-Bulk: a geometry-optimized LiAc2La structure (GGA-PBE).

Summary:
**D(E_F)**: 1.289 states/eV per atom
**ρ**: 6.394 g cm⁻³
**Relative energy among the computed polymorphs**: 48.0 meV per atom
**V**: 38.9 A^3/atom

The structure in CIF format:
```
data_LiAc2La
_chemical_formula_sum 'Li1 Ac2 La1'
_symmetry_space_group_name_H-M 'P 1'
_symmetry_Int_Tables_number 1
_symmetry_space_group_name_Hall 'P 1'
_cell_length_a 3.877
_cell_length_b 3.877
_cell_length_c 12.174
_cell_angle_alpha 80.84
_cell_angle_beta 80.84
_cell_angle_gamma 60.00
loop_
_atom_site_label
_atom_site_type_symbol
_atom_site_fract_x
_atom_site_fract_y
_atom_site_fract_z
_atom_site_occupancy
Li1 Li 0.667 0.667 0.999 1
Ac1 Ac 0.079 0.079 0.762 1
Ac2 Ac 0.254 0.254 0.238 1
La1 La 0.500 0.500 0.501 1
```

=====

- Which of these has the highest D(E_F)?
  LiAc4La3